1.
VASP calculation (PBE-GGA) on a relaxed Na3PmCr2S6 crystal.

Cell lengths 6.461, 6.461, 7.029 Å; angles 99.01, 99.01, 120.06 degrees
Fractional coordinates of all 12 atoms:
Na (0.000, 0.000, 0.000)
Na (0.340, 0.660, 0.000)
Na (0.660, 0.340, 0.000)
Pm (0.500, 0.500, 0.500)
Cr (0.167, 0.833, 0.500)
Cr (0.833, 0.167, 0.500)
S (0.058, 0.429, 0.291)
S (0.201, 0.201, 0.710)
S (0.429, 0.058, 0.291)
S (0.571, 0.942, 0.709)
S (0.799, 0.799, 0.290)
S (0.942, 0.571, 0.709)

Space-group type: C2/m
Raw total energy (eV per formula unit): -66.90
Raw formation energy (eV per atom): -1.18
Calculated volume (Å³/cell): 241.2

2.
VASP calculation (PBE-GGA) on a relaxed EuErZn crystal.

Cell lengths 5.092, 5.092, 3.830 Å; angles 90.00, 90.00, 120.00 degrees
Fractional coordinates of all 3 atoms:
Eu (0.000, 0.000, 0.000)
Er (0.333, 0.667, 0.486)
Zn (0.667, 0.333, 0.554)

Energy above the most stable polymorph in this dataset (meV/atom): 176
Space-group type: P3m1
Raw total energy (eV per formula unit): -16.10
Calculated volume (Å³/cell): 86.0
Calculated formation energy (eV/atom): 0.005

3.
VASP calculation (PBE-GGA) on a relaxed BeRhSe2 crystal.

Cell lengths 7.822, 3.448, 5.989 Å; angles 90.00, 102.08, 90.00 degrees
Fractional coordinates of all 8 atoms:
Be (0.000, 0.000, 0.000)
Be (0.500, 0.500, 0.000)
Rh (0.275, 0.000, 0.949)
Rh (0.775, 0.500, 0.949)
Se (0.045, 0.500, 0.744)
Se (0.338, 0.500, 0.252)
Se (0.545, 0.000, 0.744)
Se (0.838, 0.000, 0.252)

Space-group type: Cm
Raw total energy (eV per formula unit): -19.19
Raw formation energy (eV per atom): -0.29
Calculated volume (Å³/cell): 157.9

4.
VASP calculation (PBE-GGA) on a relaxed FeTeAs2 crystal.

Cell lengths 3.312, 3.312, 7.368 Å; angles 90.00, 90.00, 90.00 degrees
Fractional coordinates of all 4 atoms:
Fe (0.000, 0.000, 0.000)
Te (0.500, 0.500, 0.223)
As (0.000, 0.000, 0.637)
As (0.500, 0.500, 0.823)

Space-group type: P4mm
Raw total energy (eV per formula unit): -19.92
Raw formation energy (eV per atom): 0.25
Calculated volume (Å³/cell): 80.8

5.
VASP calculation (PBE-GGA) on a relaxed Sc2TiTl crystal.

Cell lengths 3.241, 3.241, 29.672 Å; angles 90.00, 90.00, 120.00 degrees
Fractional coordinates of all 12 atoms:
Sc (0.000, 0.000, 0.246)
Sc (0.000, 0.000, 0.754)
Sc (0.333, 0.667, 0.420)
Sc (0.333, 0.667, 0.913)
Sc (0.667, 0.333, 0.087)
Sc (0.667, 0.333, 0.580)
Ti (0.000, 0.000, 0.500)
Ti (0.333, 0.667, 0.167)
Ti (0.667, 0.333, 0.833)
Tl (0.000, 0.000, 0.000)
Tl (0.333, 0.667, 0.667)
Tl (0.667, 0.333, 0.333)

Space-group type: R-3m
Raw total energy (eV per formula unit): -22.98
Calculated volume (Å³/cell): 269.9
Calculated formation energy (eV/atom): -0.014

6.
VASP calculation (PBE-GGA) on a relaxed CaTlZn2 crystal.

Cell lengths 3.730, 4.360, 6.072 Å; angles 90.00, 107.44, 90.00 degrees
Fractional coordinates of all 4 atoms:
Ca (0.000, 0.000, 0.000)
Tl (0.680, 0.500, 0.348)
Zn (0.282, 0.000, 0.553)
Zn (0.389, 0.500, 0.778)

Space-group type: Pm
Raw total energy (eV per formula unit): -7.50
Calculated volume (Å³/cell): 94.2
Calculated formation energy (eV/atom): -0.146

7.
VASP calculation (PBE-GGA) on a relaxed HoSiAg2O4 crystal.

Cell lengths 5.275, 5.275, 9.116 Å; angles 90.00, 90.00, 90.00 degrees
Fractional coordinates of all 16 atoms:
Ho (0.000, 0.000, 0.000)
Ho (0.500, 0.500, 0.500)
Si (0.000, 0.500, 0.250)
Si (0.500, 0.000, 0.750)
Ag (0.000, 0.000, 0.500)
Ag (0.000, 0.500, 0.750)
Ag (0.500, 0.000, 0.250)
Ag (0.500, 0.500, 0.000)
O (0.142, 0.710, 0.143)
O (0.210, 0.358, 0.357)
O (0.290, 0.142, 0.857)
O (0.358, 0.790, 0.643)
O (0.642, 0.210, 0.643)
O (0.710, 0.858, 0.857)
O (0.790, 0.642, 0.357)
O (0.858, 0.290, 0.143)

Space-group type: I-4
Raw total energy (eV per formula unit): -50.84
Raw formation energy (eV per atom): -1.91
Calculated volume (Å³/cell): 253.6

8.
VASP calculation (PBE-GGA) on a relaxed Sm2TlCo crystal.

Cell lengths 5.172, 5.172, 3.750 Å; angles 90.00, 90.00, 90.00 degrees
Fractional coordinates of all 4 atoms:
Sm (0.000, 0.500, 0.000)
Sm (0.500, 0.000, 0.000)
Tl (0.000, 0.000, 0.500)
Co (0.500, 0.500, 0.500)

Space-group type: P4/mmm
Raw total energy (eV per formula unit): -19.16
Calculated volume (Å³/cell): 100.3
Calculated formation energy (eV/atom): -0.061